DFT (PBE-GGA) results for a relaxed LaAgSb crystal.

Electronic total energy ... -4.33 eV per atom

abc: 7.319 7.319 7.319
angles: 90.00 90.00 90.00
Space group F-43m (No. 216)
Unique sites:
1 La 0.000 0.000 0.000
2 Ag 0.250 0.250 0.250
3 Sb 0.250 0.250 0.750